[1]
## PmDyEr2Sb4 (PBE-GGA)

Data for PmDyEr2Sb4 after structural relaxation.

Structure (POSCAR):
```
PmDyEr2Sb4
1.0
4.400 0.000 0.000
0.000 7.611 -0.148
0.000 2.680 7.128
Sb Er Pm Dy
4 2 1 1
direct
0.500 0.245 0.748
0.000 0.757 0.745
0.500 0.755 0.252
0.000 0.243 0.255
0.500 0.000 0.500
0.000 0.000 0.000
0.500 0.500 0.000
0.000 0.500 0.500
```

Formation energy without anion corrections (eV per atom): -1.12
Volume (Å³ per cell): 240.45
Total DFT energy (no corrections) (eV/atom): -5.49
DOS at the Fermi energy (states/eV per cell): 1.11

=====

[2]
## Pm2Dy3ErSb6 (PBE-GGA)

Data for Pm2Dy3ErSb6 after structural relaxation.

Structure (POSCAR):
```
Pm2Dy3ErSb6
1.0
4.417 0.000 0.000
0.000 8.823 0.318
-2.208 -2.538 9.280
Dy Sb Pm Er
3 6 2 1
direct
0.832 0.166 0.664
0.168 0.834 0.336
0.500 0.500 0.000
0.998 0.247 0.995
0.335 0.413 0.670
0.665 0.587 0.330
0.002 0.753 0.005
0.666 0.078 0.331
0.334 0.922 0.669
0.834 0.667 0.668
0.166 0.333 0.332
0.500 0.000 0.000
```

Formation energy without anion corrections (eV per atom): -1.14
Volume (Å³ per cell): 365.22
Total DFT energy (no corrections) (eV/atom): -5.52
DOS at the Fermi energy (states/eV per cell): 1.92

=====

[3]
## PmDyErSc (PBE-GGA)

Data for PmDyErSc after structural relaxation.

Structure (POSCAR):
```
PmDyErSc
1.0
3.720 0.000 0.593
0.000 5.619 0.000
0.960 -2.809 5.967
Sc Er Dy Pm
1 1 1 1
direct
0.920 0.642 0.285
0.193 0.872 0.745
0.655 0.410 0.821
0.418 0.140 0.279
```

Volume (Å³ per cell): 121.51
Total DFT energy (no corrections) (eV/atom): -4.97
DOS at the Fermi energy (states/eV per cell): 6.78

=====

[4]
## PmDy6Er2Sc3 (PBE-GGA)

Data for PmDy6Er2Sc3 after structural relaxation.

Structure (POSCAR):
```
PmDy6Er2Sc3
1.0
-0.715 5.916 0.971
-4.344 -3.868 1.618
6.442 -1.773 9.308
Dy Pm Er Sc
6 1 2 3
direct
0.753 0.753 0.259
0.913 0.580 0.741
0.580 0.913 0.741
0.087 0.420 0.259
0.420 0.087 0.259
0.247 0.247 0.741
0.000 0.000 0.000
0.667 0.333 0.000
0.333 0.667 0.000
0.833 0.167 0.500
0.500 0.500 0.500
0.167 0.833 0.500
```

Volume (Å³ per cell): 356.23
Total DFT energy (no corrections) (eV/atom): -5.00
DOS at the Fermi energy (states/eV per cell): 17.30

=====

[5]
## PmDy2ErSc4 (PBE-GGA)

Data for PmDy2ErSc4 after structural relaxation.

Structure (POSCAR):
```
PmDy2ErSc4
1.0
-4.775 -7.732 -0.094
7.456 -4.924 1.658
-2.919 9.984 4.376
Er Sc Dy Pm
2 8 4 2
direct
0.500 0.500 0.500
0.000 0.000 0.000
0.252 0.251 0.002
0.748 0.749 0.998
0.750 0.248 0.999
0.751 0.752 0.502
0.250 0.752 0.001
0.249 0.248 0.498
0.748 0.250 0.499
0.252 0.750 0.501
0.500 0.000 0.500
0.500 0.500 0.000
0.500 0.000 0.000
0.000 0.000 0.500
0.000 0.500 0.000
0.000 0.500 0.500
```

Volume (Å³ per cell): 466.00
Total DFT energy (no corrections) (eV/atom): -5.04
DOS at the Fermi energy (states/eV per cell): 33.62

=====

[6]
## Pm2Dy2ErSc (PBE-GGA)

Data for Pm2Dy2ErSc after structural relaxation.

Structure (POSCAR):
```
Pm2Dy2ErSc
1.0
5.580 0.000 0.000
0.000 6.862 0.000
0.000 0.000 9.661
Pm Dy Er Sc
4 4 2 2
direct
0.500 0.508 0.000
0.000 0.758 0.814
0.000 0.258 0.186
0.500 0.008 0.000
0.000 0.758 0.164
0.500 0.257 0.332
0.000 0.258 0.836
0.500 0.757 0.668
0.500 0.757 0.346
0.500 0.257 0.654
0.000 0.507 0.500
0.000 0.007 0.500
```

Volume (Å³ per cell): 369.90
Total DFT energy (no corrections) (eV/atom): -4.84
DOS at the Fermi energy (states/eV per cell): 18.81

=====

[7]
## PmDyEr2Sc2 (PBE-GGA)

Data for PmDyEr2Sc2 after structural relaxation.

Structure (POSCAR):
```
PmDyEr2Sc2
1.0
-0.323 -3.192 4.428
9.473 -0.324 0.457
-0.003 5.473 3.945
Sc Dy Pm Er
4 2 2 4
direct
0.000 0.667 0.250
0.500 0.167 0.250
0.000 0.333 0.750
0.500 0.833 0.750
0.500 0.500 0.000
0.000 0.000 0.500
0.000 0.000 0.000
0.500 0.500 0.500
0.500 0.167 0.748
0.000 0.333 0.248
0.500 0.833 0.252
0.000 0.667 0.752
```

Volume (Å³ per cell): 350.11
Total DFT energy (no corrections) (eV/atom): -5.11
DOS at the Fermi energy (states/eV per cell): 21.17

=====

[8]
## Pm5Dy2ErSc (PBE-GGA)

Data for Pm5Dy2ErSc after structural relaxation.

Structure (POSCAR):
```
Pm5Dy2ErSc
1.0
-4.292 -1.703 2.693
8.600 -4.960 5.265
0.766 7.981 6.268
Pm Dy Sc Er
10 4 2 2
direct
0.627 0.253 0.508
0.279 0.558 0.696
0.373 0.747 0.008
0.279 0.557 0.321
0.001 0.001 0.508
0.721 0.442 0.196
0.721 0.443 0.821
0.500 0.000 0.258
0.999 0.999 0.008
0.500 0.000 0.758
0.116 0.231 0.257
0.884 0.768 0.259
0.884 0.769 0.757
0.116 0.232 0.759
0.786 0.573 0.508
0.214 0.427 0.008
0.399 0.797 0.508
0.601 0.203 0.008
```

Volume (Å³ per cell): 593.79
Total DFT energy (no corrections) (eV/atom): -4.75
DOS at the Fermi energy (states/eV per cell): 25.82

=====

[9]
## PmDy2Er6Sc (PBE-GGA)

Data for PmDy2Er6Sc after structural relaxation.

Structure (POSCAR):
```
PmDy2Er6Sc
1.0
8.924 -1.941 -2.014
0.815 8.386 -1.933
0.815 -2.243 8.308
Er Sc Dy Pm
12 2 4 2
direct
0.812 0.437 0.993
0.188 0.563 0.007
0.115 0.707 0.491
0.688 0.007 0.563
0.443 0.249 0.873
0.557 0.751 0.127
0.615 0.491 0.707
0.312 0.993 0.437
0.885 0.293 0.509
0.057 0.127 0.751
0.385 0.509 0.293
0.943 0.873 0.249
0.750 0.587 0.413
0.250 0.413 0.587
0.951 0.694 0.798
0.049 0.306 0.202
0.451 0.798 0.694
0.549 0.202 0.306
0.250 0.976 0.024
0.750 0.024 0.976
```

Volume (Å³ per cell): 616.75
Total DFT energy (no corrections) (eV/atom): -4.64
DOS at the Fermi energy (states/eV per cell): 26.90

=====

[10]
## PmDy3ErSc (PBE-GGA)

Data for PmDy3ErSc after structural relaxation.

Structure (POSCAR):
```
PmDy3ErSc
1.0
4.952 0.000 0.000
-2.476 7.434 0.000
0.000 0.000 9.954
Dy Sc Er Pm
6 2 2 2
direct
0.333 0.665 0.501
0.169 0.339 0.750
0.667 0.335 0.001
0.333 0.665 0.999
0.667 0.335 0.499
0.831 0.661 0.250
0.168 0.336 0.250
0.832 0.664 0.750
0.000 0.000 0.000
0.000 0.000 0.500
0.498 0.995 0.750
0.502 0.005 0.250
```

Volume (Å³ per cell): 366.44
Total DFT energy (no corrections) (eV/atom): -4.87
DOS at the Fermi energy (states/eV per cell): 17.58

=====

[11]
## Pm2Dy5ErSc (PBE-GGA)

Data for Pm2Dy5ErSc after structural relaxation.

Structure (POSCAR):
```
Pm2Dy5ErSc
1.0
-2.044 -5.121 0.417
9.272 -0.330 4.728
-4.484 2.521 8.970
Dy Sc Pm Er
10 2 4 2
direct
0.517 0.033 0.242
0.701 0.402 0.203
0.299 0.598 0.703
0.374 0.747 0.020
0.984 0.968 0.516
0.483 0.967 0.742
0.626 0.253 0.520
0.274 0.548 0.321
0.016 0.032 0.016
0.726 0.452 0.821
0.195 0.390 0.015
0.805 0.610 0.515
0.887 0.774 0.813
0.115 0.231 0.736
0.885 0.769 0.236
0.113 0.226 0.313
0.407 0.813 0.459
0.593 0.187 0.959
```

Volume (Å³ per cell): 573.95
Total DFT energy (no corrections) (eV/atom): -4.67
DOS at the Fermi energy (states/eV per cell): 26.45

=====

[12]
## Pm2DyEr6Sc3 (PBE-GGA)

Data for Pm2DyEr6Sc3 after structural relaxation.

Structure (POSCAR):
```
Pm2DyEr6Sc3
1.0
6.037 0.000 0.002
-3.017 5.229 0.002
-1.009 -1.748 11.271
Sc Er Pm Dy
3 6 2 1
direct
0.500 0.500 0.500
0.834 0.166 0.500
0.166 0.834 0.500
0.580 0.913 0.739
0.420 0.087 0.261
0.913 0.580 0.739
0.754 0.754 0.261
0.087 0.420 0.261
0.246 0.246 0.739
0.333 0.667 0.000
0.667 0.333 0.000
0.000 0.000 0.000
```

Volume (Å³ per cell): 355.90
Total DFT energy (no corrections) (eV/atom): -4.99
DOS at the Fermi energy (states/eV per cell): 17.88

=====

[13]
## Pm6Dy3Er2Sc (PBE-GGA)

Data for Pm6Dy3Er2Sc after structural relaxation.

Structure (POSCAR):
```
Pm6Dy3Er2Sc
1.0
-2.584 5.042 2.513
-3.586 -4.593 -2.111
2.360 -5.164 10.248
Er Dy Pm Sc
2 3 6 1
direct
0.667 0.333 0.000
0.333 0.667 0.000
0.167 0.833 0.500
0.500 0.500 0.500
0.833 0.167 0.500
0.082 0.413 0.247
0.249 0.249 0.753
0.751 0.751 0.247
0.413 0.082 0.247
0.918 0.587 0.753
0.587 0.918 0.753
0.000 0.000 0.000
```

Volume (Å³ per cell): 383.70
Total DFT energy (no corrections) (eV/atom): -4.79
DOS at the Fermi energy (states/eV per cell): 13.69

=====

[14]
## PmDy2Er6Sc3 (PBE-GGA)

Data for PmDy2Er6Sc3 after structural relaxation.

Structure (POSCAR):
```
PmDy2Er6Sc3
1.0
-4.744 2.663 2.574
2.563 -4.769 2.628
7.638 7.537 3.932
Dy Sc Er Pm
2 3 6 1
direct
0.667 0.333 0.000
0.333 0.667 0.000
0.833 0.167 0.500
0.167 0.833 0.500
0.500 0.500 0.500
0.247 0.247 0.740
0.579 0.913 0.740
0.913 0.579 0.740
0.753 0.753 0.260
0.087 0.421 0.260
0.421 0.087 0.260
0.000 0.000 0.000
```

Volume (Å³ per cell): 353.03
Total DFT energy (no corrections) (eV/atom): -4.98
DOS at the Fermi energy (states/eV per cell): 18.00

=====

[15]
## PmDyErSc (PBE-GGA)

Data for PmDyErSc after structural relaxation.

Structure (POSCAR):
```
PmDyErSc
1.0
5.554 0.000 0.000
2.777 4.810 0.000
2.777 1.603 4.535
Dy Er Sc Pm
1 1 1 1
direct
0.500 0.500 0.500
0.250 0.250 0.250
0.750 0.750 0.750
0.000 0.000 0.000
```

Volume (Å³ per cell): 121.18
Total DFT energy (no corrections) (eV/atom): -4.95
DOS at the Fermi energy (states/eV per cell): 6.27

=====

[16]
## Pm3Dy6ErSc2 (PBE-GGA)

Data for Pm3Dy6ErSc2 after structural relaxation.

Structure (POSCAR):
```
Pm3Dy6ErSc2
1.0
-4.458 4.172 -0.233
-1.296 -5.906 -0.881
0.128 -0.707 11.615
Er Sc Pm Dy
1 2 3 6
direct
0.000 0.000 0.000
0.667 0.333 0.000
0.333 0.667 0.000
0.167 0.833 0.500
0.500 0.500 0.500
0.833 0.167 0.500
0.919 0.583 0.759
0.583 0.919 0.759
0.417 0.081 0.241
0.081 0.417 0.241
0.745 0.745 0.241
0.255 0.255 0.759
```

Volume (Å³ per cell): 370.53
Total DFT energy (no corrections) (eV/atom): -4.89
DOS at the Fermi energy (states/eV per cell): 17.16

=====

[17]
## PmDyEr5Sc2 (PBE-GGA)

Data for PmDyEr5Sc2 after structural relaxation.

Structure (POSCAR):
```
PmDyEr5Sc2
1.0
-1.061 -5.457 0.111
3.230 2.414 10.265
-8.796 1.758 2.354
Sc Er Pm Dy
4 10 2 2
direct
0.113 0.226 0.325
0.139 0.278 0.697
0.861 0.722 0.197
0.887 0.774 0.825
0.265 0.530 0.335
0.308 0.616 0.719
0.532 0.063 0.248
0.608 0.216 0.546
0.991 0.982 0.518
0.468 0.937 0.748
0.692 0.384 0.219
0.392 0.784 0.046
0.735 0.470 0.835
0.009 0.018 0.018
0.814 0.629 0.518
0.186 0.371 0.018
0.597 0.193 0.919
0.403 0.807 0.419
```

Volume (Å³ per cell): 550.34
Total DFT energy (no corrections) (eV/atom): -4.81
DOS at the Fermi energy (states/eV per cell): 26.93

=====

[18]
## Pm3Dy6Er2Sc (PBE-GGA)

Data for Pm3Dy6Er2Sc after structural relaxation.

Structure (POSCAR):
```
Pm3Dy6Er2Sc
1.0
-4.958 2.246 2.837
-0.159 -5.619 -2.464
5.382 -3.359 9.858
Dy Er Sc Pm
6 2 1 3
direct
0.412 0.081 0.244
0.081 0.412 0.244
0.919 0.588 0.756
0.250 0.250 0.756
0.588 0.919 0.756
0.750 0.750 0.244
0.667 0.333 0.000
0.333 0.667 0.000
0.000 0.000 0.000
0.166 0.834 0.500
0.834 0.166 0.500
0.500 0.500 0.500
```

Volume (Å³ per cell): 376.73
Total DFT energy (no corrections) (eV/atom): -4.75
DOS at the Fermi energy (states/eV per cell): 16.63

=====

[19]
## Pm2Dy2ErSc2 (PBE-GGA)

Data for Pm2Dy2ErSc2 after structural relaxation.

Structure (POSCAR):
```
Pm2Dy2ErSc2
1.0
-0.536 -4.876 0.627
4.049 1.520 -4.218
4.789 0.261 6.121
Pm Dy Er Sc
2 2 1 2
direct
0.287 0.575 0.349
0.713 0.425 0.651
0.426 0.853 0.793
0.574 0.147 0.207
0.000 0.000 0.500
0.142 0.283 0.930
0.858 0.717 0.070
```

Volume (Å³ per cell): 209.88
Total DFT energy (no corrections) (eV/atom): -5.08
DOS at the Fermi energy (states/eV per cell): 11.00

=====

[20]
## PmDy6Er2Sc (PBE-GGA)

Data for PmDy6Er2Sc after structural relaxation.

Structure (POSCAR):
```
PmDy6Er2Sc
1.0
-8.698 3.287 -0.490
-1.261 -5.681 -6.469
-1.055 -2.959 8.114
Dy Pm Sc Er
12 2 2 4
direct
0.689 0.002 0.559
0.311 0.998 0.441
0.114 0.708 0.488
0.055 0.125 0.757
0.189 0.559 0.002
0.886 0.292 0.512
0.614 0.488 0.708
0.945 0.875 0.243
0.445 0.243 0.875
0.555 0.757 0.125
0.811 0.441 0.998
0.386 0.512 0.292
0.750 0.026 0.974
0.250 0.974 0.026
0.750 0.585 0.415
0.250 0.415 0.585
0.450 0.796 0.692
0.550 0.204 0.308
0.050 0.308 0.204
0.950 0.692 0.796
```

Volume (Å³ per cell): 624.56
Total DFT energy (no corrections) (eV/atom): -4.65
DOS at the Fermi energy (states/eV per cell): 27.99